No. 1
Entry from Alexandria: a geometry-optimized Ti5GaPb2 structure (GGA-PBE).

a = 7.3031 Å, b = 7.3031 Å, c = 11.6207 Å
α = 90.00°, β = 90.00°, γ = 144.86°
Last column: nearest neighbours and their distance in Å.
Fractional coordinates of all 16 atoms:
Ti 0.1303 0.8697 0.6328  6 Ti 2.72-2.92, 1 Ga 2.91, 2 Pb 2.95-2.97
Ti 0.1303 0.8697 0.8672  6 Ti 2.72-2.92, 1 Ga 2.91, 2 Pb 2.95-2.97
Ti 0.2884 0.7116 0.2500  2 Ga 2.63, 4 Ti 2.83
Ti 0.3027 0.6973 0.5114  5 Ti 2.66-2.92, 1 Ga 2.78
Ti 0.3027 0.6973 0.9886  5 Ti 2.66-2.92, 1 Ga 2.78
Ti 0.6973 0.3027 0.0114  5 Ti 2.66-2.92, 1 Ga 2.78
Ti 0.6973 0.3027 0.4886  5 Ti 2.66-2.92, 1 Ga 2.78
Ti 0.7116 0.2884 0.7500  2 Ga 2.63, 4 Ti 2.83
Ti 0.8697 0.1303 0.1328  6 Ti 2.72-2.92, 1 Ga 2.91, 2 Pb 2.95-2.97
Ti 0.8697 0.1303 0.3672  6 Ti 2.72-2.92, 1 Ga 2.91, 2 Pb 2.95-2.97
Ga 0.3147 0.6853 0.7500  6 Ti 2.63-2.91
Ga 0.6853 0.3147 0.2500  6 Ti 2.63-2.91
Pb 0.0810 0.9190 0.1157  5 Ti 2.95-3.28, 2 Ga 3.07, 1 Pb 3.12
Pb 0.0810 0.9190 0.3843  5 Ti 2.95-3.28, 2 Ga 3.07, 1 Pb 3.12
Pb 0.9190 0.0810 0.6157  5 Ti 2.95-3.28, 2 Ga 3.07, 1 Pb 3.12
Pb 0.9190 0.0810 0.8843  5 Ti 2.95-3.28, 2 Ga 3.07, 1 Pb 3.12

Summary:
For the formation energy, the calculation gives 0.258 eV/atom.

=====

No. 2
Entry from Alexandria: a geometry-optimized Ce2DySe2O2 structure (GGA-PBE).

a = 4.3704 Å, b = 4.3704 Å, c = 15.4517 Å
α = 90.00°, β = 90.00°, γ = 90.00°
Last column: nearest neighbours and their distance in Å.
Fractional coordinates of all 14 atoms:
Ce 0.0000 0.0000 0.1203  4 O 2.87, 1 Se 3.06
Ce 0.0000 0.0000 0.8797  4 O 2.87, 1 Se 3.06
Ce 0.5000 0.5000 0.3797  4 O 2.87, 1 Se 3.06
Ce 0.5000 0.5000 0.6203  4 O 2.87, 1 Se 3.06
Dy 0.0000 0.0000 0.5000  4 O 2.19
Dy 0.5000 0.5000 0.0000  4 O 2.19
Se 0.0000 0.0000 0.3186  1 Dy 2.80, 1 Ce 3.06
Se 0.0000 0.0000 0.6814  1 Dy 2.80, 1 Ce 3.06
Se 0.5000 0.5000 0.1814  1 Dy 2.80, 1 Ce 3.06
Se 0.5000 0.5000 0.8186  1 Dy 2.80, 1 Ce 3.06
O 0.0000 0.5000 0.0000  2 Dy 2.19
O 0.0000 0.5000 0.5000  2 Dy 2.19
O 0.5000 0.0000 0.0000  2 Dy 2.19
O 0.5000 0.0000 0.5000  2 Dy 2.19

Summary:
The calculation puts the uncorrected formation energy at -2.3855 eV/atom.

=====

Number 1: electronic total energy -95.71 eV per cell, magnetic moment 0.00 μB/f.u.. Number 2: electronic total energy -100.11 eV per cell, magnetic moment 2.88 μB/f.u..